# PuThSiAg

An optimized crystal structure of PuThSiAg (PBE-GGA, the Alexandria database).

Unit cell a=5.1521 b=5.1521 c=5.1521 alpha=60.00 beta=60.00 gamma=60.00
With the nearest neighbours (Å) after each atom.
Sites, in units of the cell vectors:
Si 0.7500 0.7500 0.7500  4 Th 3.15, 4 Pu 3.15
Pu 0.5000 0.5000 0.5000  4 Ag 3.15, 4 Si 3.15
Th 0.0000 0.0000 0.0000  4 Si 3.15, 4 Ag 3.15
Ag 0.2500 0.2500 0.2500  4 Th 3.15, 4 Pu 3.15

ρ = 10.5 g/cm³
DFT total energy = -7.67 eV per atom
ΔE_f (raw) = -166 meV/atom